The following is a PBE calculation of crystalline Ba2NdScS5 at its relaxed geometry, from the Alexandria database.

Cell lengths 4.295, 8.917, 13.360 Å; angles 90.00, 90.00, 103.93 degrees
Atoms (fractional coordinates):
Ba 0.859 0.718 0.807
Ba 0.105 0.210 0.688
Ba 0.141 0.282 0.307
Ba 0.895 0.790 0.188
Nd 0.787 0.574 0.517
Nd 0.213 0.426 0.017
Sc 0.527 0.054 0.952
Sc 0.473 0.946 0.452
S 0.376 0.751 0.998
S 0.675 0.350 0.883
S 0.490 0.980 0.778
S 0.283 0.566 0.657
S 0.951 0.903 0.544
S 0.624 0.249 0.498
S 0.325 0.650 0.383
S 0.510 0.020 0.278
S 0.717 0.434 0.157
S 0.049 0.097 0.044

Uncorrected formation energy, meV/atom: -2034.9
V, Å³ per cell: 497
Size of the total moment, μB/atom: 0.000



The following is a PBE calculation of crystalline Ba3BiAu8 at its relaxed geometry, from the Alexandria database.

Cell lengths 5.890, 5.890, 10.506 Å; angles 73.72, 73.72, 60.00 degrees
Atoms (fractional coordinates):
Ba 0.376 0.376 0.871
Ba 0.994 0.994 0.019
Ba 0.505 0.505 0.485
Bi 0.873 0.873 0.381
Au 0.943 0.436 0.185
Au 0.435 0.938 0.689
Au 0.436 0.436 0.185
Au 0.938 0.938 0.689
Au 0.188 0.188 0.436
Au 0.688 0.688 0.936
Au 0.436 0.943 0.185
Au 0.938 0.435 0.689

Energy of formation, eV/atom: -0.45
V, Å³ per cell: 299
Size of the total moment, μB/atom: 0.000



The following is a PBE calculation of crystalline Zr2Be2Ru at its relaxed geometry, from the Alexandria database.

Cell lengths 6.525, 6.525, 3.530 Å; angles 90.00, 90.00, 90.00 degrees
Atoms (fractional coordinates):
Ru 0.000 0.000 0.000
Ru 0.500 0.500 0.000
Zr 0.181 0.681 0.500
Zr 0.681 0.819 0.500
Zr 0.819 0.319 0.500
Zr 0.319 0.181 0.500
Be 0.383 0.883 0.000
Be 0.883 0.617 0.000
Be 0.617 0.117 0.000
Be 0.117 0.383 0.000

Energy of formation, eV/atom: -0.31
V, Å³ per cell: 150
Size of the total moment, μB/atom: 0.000



The following is a PBE calculation of crystalline NdUSi2O8 at its relaxed geometry, from the Alexandria database.

Cell lengths 5.886, 5.886, 5.886 Å; angles 106.37, 106.37, 115.86 degrees
Site moments in Bohr magnetons follow the coordinates.
Atoms (fractional coordinates):
Nd 0.250 0.750 0.500  0.00
U 0.000 0.000 0.000  1.06
Si 0.750 0.250 0.500  0.00
Si 0.500 0.500 0.000  0.00
O 0.401 0.087 0.314  -0.01
O 0.324 0.496 0.172  0.00
O 0.324 0.151 0.828  0.00
O 0.773 0.087 0.686  -0.01
O 0.849 0.676 0.172  0.00
O 0.913 0.227 0.314  -0.01
O 0.913 0.599 0.686  -0.01
O 0.504 0.676 0.828  0.00

Uncorrected formation energy, meV/atom: -3049.1
V, Å³ per cell: 156
Size of the total moment, μB/atom: 0.083